Entry 1:
## AsH (PBE)

Data for an optimized crystal structure of AsH.

Values from the calculation:
ΔE to the lowest computed polymorph = 0 meV/atom
M_tot = 0.00 μB/f.u.

a b c (Å): 4.1829 3.8272 4.4636
angles (deg): 90.00 97.16 90.00
Space group P2_1/m (No. 11)
Asymmetric unit:
As 0.1990 0.2500 0.0018 x2
H 0.2568 0.2500 0.3505 x2

Entry 2:
## CeAg3I2Cl6 (PBE)

Data for an optimized crystal structure of CeAg3I2Cl6.

Values from the calculation:
M_tot = 0.00 μB/f.u.
formation energy from raw total energies = -956 meV/atom

a b c (Å): 14.3546 7.9426 6.3684
angles (deg): 90.00 93.91 90.00
Space group C2/m (No. 12)
Asymmetric unit:
Ce 0.0000 0.0000 0.0000 x2
Ag 0.0000 0.5000 0.5000 x2
Ag 0.2500 0.2500 0.0000 x4
I 0.1780 0.5000 0.7215 x4
Cl 0.0736 0.2399 0.2462 x8
Cl 0.1565 0.0000 0.7837 x4

Entry 3:
## Nd4GaNi (PBE)

Data for an optimized crystal structure of Nd4GaNi.

Values from the calculation:
ΔE to the lowest computed polymorph = 87 meV/atom
M_tot = 0.00 μB/f.u.
energy of formation = -0.16 eV/atom

a b c (Å): 5.1893 20.8326 6.5661
angles (deg): 90.00 90.00 90.00
Space group Cmc2_1 (No. 36)
Asymmetric unit:
Nd 0.0000 0.0496 0.0000 x4
Nd 0.0000 0.1947 0.2483 x4
Nd 0.0000 0.1962 0.7549 x4
Nd 0.0000 0.4052 0.0032 x4
Ga 0.0000 0.3447 0.5012 x4
Ni 0.0000 0.0824 0.5020 x4

Entry 4:
## K2CuTeSe4 (PBE)

Data for an optimized crystal structure of K2CuTeSe4.

Values from the calculation:
M_tot = 0.00 μB/f.u.
formation energy from raw total energies = -483 meV/atom

a b c (Å): 5.7921 14.7084 22.3362
angles (deg): 90.00 90.00 90.00
Space group Fddd (No. 70, origin choice 2)
Asymmetric unit:
K 0.1250 0.1250 0.3123 x16
Cu 0.1250 0.1250 0.6250 x8
Te 0.1250 0.1250 0.1250 x8
Se 0.1072 0.2703 0.8032 x32

| no. | uncorrected energy (eV for the cell shown) |
| --- | --- |
| 1 | -15.78 |
| 2 | -80.29 |
| 3 | -115.45 |
| 4 | -217.91 |